The following is a PBE calculation of a relaxed Pm6SmDyY2 crystal, from Alexandria via LeMat-Bulk.

DOS at the Fermi energy in states/eV/atom: 1.481
Total energy in eV/f.u.: -49.6
Formation enthalpy at 0 K in meV/atom: 118

a = 9.587 Å, b = 8.950 Å, c = 8.950 Å
α = 116.96°, β = 93.28°, γ = 93.28°
Fractional positions:
1 Pm 0.057 0.116 0.761
2 Pm 0.443 0.239 0.884
3 Pm 0.943 0.884 0.239
4 Pm 0.557 0.761 0.116
5 Pm 0.314 0.991 0.439
6 Pm 0.186 0.561 0.009
7 Pm 0.686 0.009 0.561
8 Pm 0.814 0.439 0.991
9 Pm 0.117 0.707 0.482
10 Pm 0.383 0.518 0.293
11 Pm 0.883 0.293 0.518
12 Pm 0.617 0.482 0.707
13 Sm 0.250 0.968 0.032
14 Sm 0.750 0.032 0.968
15 Dy 0.250 0.410 0.590
16 Dy 0.750 0.590 0.410
17 Y 0.451 0.797 0.701
18 Y 0.049 0.299 0.203
19 Y 0.549 0.203 0.299
20 Y 0.951 0.701 0.797